(1)
The following is a PBE-GGA calculation of a relaxed SrNbGa2S crystal, from Alexandria.

Lattice parameters (Å, degrees): 5.537 5.192 5.537 90.00 90.00 90.00
Fractional coordinates of all 5 atoms:
Ga1 0.500 0.000 0.000
Ga2 0.000 0.000 0.500
Nb1 0.500 0.500 0.500
Sr1 0.000 0.000 0.000
S1 0.000 0.500 0.000

Results
**Polymorph energy (0 for the lowest one)**: 0.0 meV per atom
**SG**: No. 123



(2)
The following is a PBE-GGA calculation of a relaxed CdGaB crystal, from Alexandria.

Lattice parameters (Å, degrees): 11.302 3.161 6.044 90.00 90.00 90.00
Fractional coordinates of all 12 atoms:
Ga1 0.841 0.250 0.221
Ga2 0.159 0.750 0.779
Ga3 0.341 0.250 0.279
Ga4 0.659 0.750 0.721
Cd1 0.105 0.250 0.378
Cd2 0.895 0.750 0.622
Cd3 0.395 0.750 0.878
Cd4 0.605 0.250 0.122
B1 0.500 0.500 0.500
B2 0.500 0.000 0.500
B3 0.000 0.000 0.000
B4 0.000 0.500 0.000

Results
**SG**: No. 62
**Energy relative to the elements**: 303 meV/atom



(3)
The following is a PBE-GGA calculation of a relaxed Ca2PaNi9 crystal, from Alexandria.

Lattice parameters (Å, degrees): 4.924 4.924 8.697 73.56 73.56 60.00
Fractional coordinates of all 12 atoms:
Ni1 0.082 0.580 0.758
Ni2 0.667 0.667 0.999
Ni3 0.420 0.420 0.242
Ni4 0.580 0.082 0.758
Ni5 0.918 0.420 0.242
Ni6 0.580 0.580 0.758
Ni7 0.333 0.333 0.001
Ni8 0.420 0.918 0.242
Ni9 0.500 0.500 0.500
Ca1 0.858 0.858 0.426
Ca2 0.142 0.142 0.574
Pa1 0.000 0.000 0.000

Results
**SG**: No. 166
**Energy relative to the elements**: -267 meV/atom



(4)
The following is a PBE-GGA calculation of a relaxed Tb2PmY6Th3 crystal, from Alexandria.

Lattice parameters (Å, degrees): 6.214 6.214 11.778 95.06 95.06 120.00
Fractional coordinates of all 12 atoms:
Tb1 0.333 0.667 0.000
Tb2 0.667 0.333 0.000
Y1 0.418 0.085 0.255
Y2 0.582 0.915 0.745
Y3 0.751 0.751 0.255
Y4 0.085 0.418 0.255
Y5 0.915 0.582 0.745
Y6 0.249 0.249 0.745
Th1 0.167 0.833 0.500
Th2 0.833 0.167 0.500
Th3 0.500 0.500 0.500
Pm1 0.000 0.000 0.000

Results
**SG**: No. 12
**Energy relative to the elements**: 22 meV/atom



(5)
The following is a PBE-GGA calculation of a relaxed Ni2PdPt2W crystal, from Alexandria.

Lattice parameters (Å, degrees): 3.803 3.856 12.256 90.00 90.00 90.00
Fractional coordinates of all 12 atoms:
W1 0.500 0.500 0.500
W2 0.000 0.000 0.000
Ni1 0.500 0.000 0.642
Ni2 0.500 0.000 0.358
Ni3 0.000 0.500 0.142
Ni4 0.000 0.500 0.858
Pd1 0.500 0.500 0.000
Pd2 0.000 0.000 0.500
Pt1 0.000 0.500 0.344
Pt2 0.500 0.000 0.844
Pt3 0.000 0.500 0.656
Pt4 0.500 0.000 0.156

Results
**SG**: No. 71
**Energy relative to the elements**: 25 meV/atom



(6)
The following is a PBE-GGA calculation of a relaxed V5Ga5Cu crystal, from Alexandria.

Lattice parameters (Å, degrees): 4.437 5.126 8.522 94.73 90.00 115.65
Fractional coordinates of all 11 atoms:
Cu1 0.000 0.000 0.000
Ga1 0.846 0.692 0.737
Ga2 0.168 0.336 0.808
Ga3 0.832 0.664 0.192
Ga4 0.500 0.000 0.000
Ga5 0.154 0.308 0.263
V1 0.296 0.592 0.560
V2 0.443 0.886 0.331
V3 0.000 0.000 0.500
V4 0.557 0.114 0.669
V5 0.704 0.408 0.440

Results
**SG**: No. 12
**Energy relative to the elements**: 63 meV/atom



(7)
The following is a PBE-GGA calculation of a relaxed InCoCu2 crystal, from Alexandria.

Lattice parameters (Å, degrees): 5.083 5.083 4.267 65.00 65.00 34.49
Fractional coordinates of all 4 atoms:
Co1 0.750 0.750 0.750
Cu1 0.486 0.486 0.514
Cu2 0.014 0.014 0.986
In1 0.250 0.250 0.250

Results
**SG**: No. 12
**Energy relative to the elements**: 167 meV/atom



(8)
The following is a PBE-GGA calculation of a relaxed Ba2BeF crystal, from Alexandria.

Lattice parameters (Å, degrees): 7.587 7.587 7.181 58.11 58.11 90.00
Fractional coordinates of all 8 atoms:
Be1 0.250 0.750 0.500
Be2 0.500 0.500 0.000
Ba1 0.875 0.929 0.750
Ba2 0.679 0.125 0.250
Ba3 0.071 0.625 0.250
Ba4 0.375 0.321 0.750
F1 0.750 0.250 0.500
F2 0.000 0.000 0.000

Results
**Polymorph energy (0 for the lowest one)**: 0.0 meV per atom
**SG**: No. 122



(9)
The following is a PBE-GGA calculation of a relaxed MgSc2Se2 crystal, from Alexandria.

Lattice parameters (Å, degrees): 7.541 7.541 3.523 90.00 90.00 90.00
Fractional coordinates of all 10 atoms:
Mg1 0.500 0.500 0.000
Mg2 0.000 0.000 0.000
Sc1 0.647 0.853 0.500
Sc2 0.353 0.147 0.500
Sc3 0.853 0.353 0.500
Sc4 0.147 0.647 0.500
Se1 0.851 0.649 0.000
Se2 0.149 0.351 0.000
Se3 0.649 0.149 0.000
Se4 0.351 0.851 0.000

Results
**SG**: No. 127
**E_tot**: -5.2982 eV/atom



(10)
The following is a PBE-GGA calculation of a relaxed Mn3PtSe crystal, from Alexandria.

Lattice parameters (Å, degrees): 4.252 4.252 4.252 90.00 90.00 90.00
Fractional coordinates of all 5 atoms:
Mn1 0.000 0.000 0.500
Mn2 0.500 0.000 0.000
Mn3 0.000 0.500 0.000
Pt1 0.500 0.500 0.500
Se1 0.000 0.000 0.000

Results
**Polymorph energy (0 for the lowest one)**: 425.6 meV per atom
**SG**: No. 221



(11)
The following is a PBE-GGA calculation of a relaxed Cs2SbRhCl6 crystal, from Alexandria.

Lattice parameters (Å, degrees): 7.413 7.413 7.413 60.00 60.00 90.00
Fractional coordinates of all 10 atoms:
Cs1 0.250 0.750 0.500
Cs2 0.750 0.250 0.500
Cl1 0.740 0.260 0.000
Cl2 0.260 0.260 0.480
Cl3 0.260 0.260 0.000
Cl4 0.740 0.740 0.520
Cl5 0.740 0.740 0.000
Cl6 0.260 0.740 0.000
Rh1 0.500 0.500 0.000
Sb1 0.000 0.000 0.000

Results
**SG**: No. 225
**E_tot**: -3.5456 eV/atom



(12)
The following is a PBE-GGA calculation of a relaxed MnV2WCl crystal, from Alexandria.

Lattice parameters (Å, degrees): 4.698 4.720 4.698 90.00 90.00 90.00
Fractional coordinates of all 5 atoms:
W1 0.000 0.000 0.000
Mn1 0.500 0.500 0.500
V1 0.500 0.000 0.000
V2 0.000 0.000 0.500
Cl1 0.000 0.500 0.000

Results
**SG**: No. 123
**E_tot**: -6.9020 eV/atom



(13)
The following is a PBE-GGA calculation of a relaxed Ta2BeReBi crystal, from Alexandria.

Lattice parameters (Å, degrees): 4.913 5.153 4.913 90.00 90.00 90.00
Fractional coordinates of all 5 atoms:
Ta1 0.000 0.000 0.500
Ta2 0.500 0.000 0.000
Be1 0.500 0.500 0.500
Bi1 0.000 0.500 0.000
Re1 0.000 0.000 0.000

Results
**SG**: No. 123
**Energy relative to the elements**: 1716 meV/atom



(14)
The following is a PBE-GGA calculation of a relaxed Th2SnIr crystal, from Alexandria.

Lattice parameters (Å, degrees): 4.415 4.283 12.095 100.20 90.00 90.00
Fractional coordinates of all 8 atoms:
Th1 0.750 0.924 0.848
Th2 0.250 0.307 0.614
Th3 0.750 0.693 0.386
Th4 0.250 0.076 0.152
Sn1 0.250 0.455 0.911
Sn2 0.750 0.545 0.089
Ir1 0.750 0.811 0.621
Ir2 0.250 0.189 0.379

Results
**Polymorph energy (0 for the lowest one)**: 20.0 meV per atom
**SG**: No. 63
**Energy relative to the elements**: -666 meV/atom



(15)
The following is a PBE-GGA calculation of a relaxed ThGa3Ir3 crystal, from Alexandria.

Lattice parameters (Å, degrees): 6.735 6.735 6.735 90.00 90.00 90.00
Fractional coordinates of all 14 atoms:
Ir1 0.000 0.500 0.750
Ir2 0.000 0.500 0.250
Ir3 0.500 0.250 0.000
Ir4 0.750 0.000 0.500
Ir5 0.250 0.000 0.500
Ir6 0.500 0.750 0.000
Ga1 0.500 0.000 0.750
Ga2 0.750 0.500 0.000
Ga3 0.250 0.500 0.000
Ga4 0.000 0.250 0.500
Ga5 0.500 0.000 0.250
Ga6 0.000 0.750 0.500
Th1 0.000 0.000 0.000
Th2 0.500 0.500 0.500

Results
**Polymorph energy (0 for the lowest one)**: 589.8 meV per atom
**SG**: No. 223
**Energy relative to the elements**: 51 meV/atom



(16)
The following is a PBE-GGA calculation of a relaxed Er6TePb3 crystal, from Alexandria.

Lattice parameters (Å, degrees): 3.716 11.945 13.452 98.81 90.00 90.00
Fractional coordinates of all 20 atoms:
Er1 0.750 0.764 0.749
Er2 0.250 0.562 0.884
Er3 0.250 0.236 0.251
Er4 0.250 0.077 0.884
Er5 0.750 0.769 0.319
Er6 0.750 0.476 0.656
Er7 0.750 0.110 0.466
Er8 0.750 0.438 0.116
Er9 0.250 0.890 0.534
Er10 0.250 0.524 0.344
Er11 0.250 0.231 0.681
Er12 0.750 0.923 0.116
Te1 0.750 0.025 0.693
Te2 0.250 0.975 0.307
Pb1 0.750 0.170 0.066
Pb2 0.750 0.667 0.520
Pb3 0.750 0.333 0.871
Pb4 0.250 0.667 0.129
Pb5 0.250 0.830 0.934
Pb6 0.250 0.333 0.480

Results
**SG**: No. 11
**E_tot**: -4.5983 eV/atom



(17)
The following is a PBE-GGA calculation of a relaxed Y3SiCl crystal, from Alexandria.

Lattice parameters (Å, degrees): 5.054 5.054 5.054 90.00 90.00 90.00
Fractional coordinates of all 5 atoms:
Y1 0.500 0.000 0.000
Y2 0.000 0.000 0.500
Y3 0.000 0.500 0.000
Si1 0.500 0.500 0.500
Cl1 0.000 0.000 0.000

Results
**Polymorph energy (0 for the lowest one)**: 0.0 meV per atom
**SG**: No. 221



(18)
The following is a PBE-GGA calculation of a relaxed BaAcPO5 crystal, from Alexandria.

Lattice parameters (Å, degrees): 6.298 6.298 8.238 101.39 101.39 107.72
Fractional coordinates of all 16 atoms:
Ac1 0.000 0.000 0.000
Ac2 0.000 0.000 0.500
Ba1 0.658 0.342 0.750
Ba2 0.342 0.658 0.250
P1 0.317 0.683 0.750
P2 0.683 0.317 0.250
O1 0.449 0.265 0.113
O2 0.669 0.121 0.344
O3 0.898 0.102 0.750
O4 0.102 0.898 0.250
O5 0.331 0.879 0.656
O6 0.551 0.735 0.887
O7 0.735 0.551 0.387
O8 0.121 0.669 0.844
O9 0.879 0.331 0.156
O10 0.265 0.449 0.613

Results
**SG**: No. 15
**E_tot**: -7.4005 eV/atom



(19)
The following is a PBE-GGA calculation of a relaxed EuCd2 crystal, from Alexandria.

Lattice parameters (Å, degrees): 6.296 6.296 6.296 132.40 105.57 93.28
Fractional coordinates of all 6 atoms:
Eu1 0.715 0.965 0.750
Eu2 0.285 0.035 0.250
Cd1 0.708 0.665 0.042
Cd2 0.877 0.335 0.542
Cd3 0.292 0.335 0.958
Cd4 0.123 0.665 0.458

Results
**SG**: No. 74
**Energy relative to the elements**: -342 meV/atom



(20)
The following is a PBE-GGA calculation of a relaxed Be4AlW crystal, from Alexandria.

Lattice parameters (Å, degrees): 4.441 4.441 4.441 60.00 60.00 60.00
Fractional coordinates of all 6 atoms:
W1 0.250 0.250 0.250
Be1 0.621 0.621 0.621
Be2 0.621 0.621 0.136
Be3 0.136 0.621 0.621
Be4 0.621 0.136 0.621
Al1 0.000 0.000 0.000

Results
**SG**: No. 216
**Energy relative to the elements**: -9 meV/atom